(1)
Entry from Alexandria via LeMat-Bulk: a relaxed NiGe2Ru2 crystal (PBE).

Results
**Formation energy from the elements**: -0.02 eV/atom

abc: 6.9468 6.9468 3.0030
angles: 90.00 90.00 90.00
Closest atoms and distances in Å follow each position.
Space group P4/mbm (No. 127)
Inequivalent atoms, fractional coordinates:
Ni  0.0000  0.0000  0.0000 (multiplicity 2)  4 Ru 2.67
Ge  0.1564  0.3436  0.5000 (multiplicity 4)  6 Ru 2.47-2.57
Ru  0.1437  0.6437  0.0000 (multiplicity 4)  6 Ge 2.47-2.57, 2 Ni 2.67



(2)
Entry from Alexandria via LeMat-Bulk: a relaxed Tl2ReBr crystal (PBE).

Results
**E_form (uncorrected)**: 0.783 eV per atom
**ΔE to the lowest computed polymorph**: 172.0 meV per atom

abc: 3.4130 4.7281 12.5103
angles: 90.00 90.00 90.00
Closest atoms and distances in Å follow each position.
Space group Cmmm (No. 65)
Inequivalent atoms, fractional coordinates:
Tl  0.0000  0.0000  0.2078 (multiplicity 4)  4 Tl 2.92, 2 Re 3.11
Re  0.0000  0.5000  0.0000 (multiplicity 2)  4 Re 2.92, 4 Tl 3.11
Br  0.0000  0.5000  0.5000 (multiplicity 2)  4 Br 2.92



(3)
Entry from Alexandria via LeMat-Bulk: a relaxed Na3CdB crystal (PBE).

Results
**ΔE to the lowest computed polymorph**: 462.3 meV per atom
**Formation energy from the elements**: 1.14 eV/atom

abc: 5.6365 5.6365 5.6365
angles: 90.00 90.00 90.00
Closest atoms and distances in Å follow each position.
Space group Pm-3m (No. 221)
Inequivalent atoms, fractional coordinates:
Na  0.0000  0.0000  0.5000 (multiplicity 3)  2 Cd 2.82
Cd  0.0000  0.0000  0.0000 (multiplicity 1)  6 Na 2.82
B  0.5000  0.5000  0.5000 (multiplicity 1)  12 Na 3.99



(4)
Entry from Alexandria via LeMat-Bulk: a relaxed TaFeP crystal (PBE).

Results
**Formation energy from the elements**: -0.79 eV/atom

abc: 6.0889 3.6008 10.4835
angles: 90.00 90.45 90.00
Closest atoms and distances in Å follow each position.
Space group P2_1/m (No. 11)
Inequivalent atoms, fractional coordinates:
Ta  0.0218  0.2500  0.2095 (multiplicity 2)  5 P 2.49-2.58, 5 Fe 2.71-2.77
Ta  0.3497  0.7500  0.5777 (multiplicity 2)  5 P 2.58-2.59, 5 Fe 2.74-2.85
Ta  0.4746  0.7500  0.8813 (multiplicity 2)  5 P 2.58-2.59, 5 Fe 2.77-2.85
Fe  0.0110  0.2500  0.5905 (multiplicity 2)  4 P 2.26-2.30
Fe  0.1442  0.2500  0.9590 (multiplicity 2)  4 P 2.25-2.34
Fe  0.3607  0.7500  0.2939 (multiplicity 2)  4 P 2.29-2.38
P  0.2251  0.2500  0.4160 (multiplicity 2)  5 Fe 2.26-2.36, 1 Ta 2.49
P  0.2265  0.7500  0.0797 (multiplicity 2)  4 Fe 2.25-2.38
P  0.2714  0.2500  0.7492 (multiplicity 2)  3 Fe 2.29-2.34



(5)
Entry from Alexandria via LeMat-Bulk: a relaxed RbNbPd3 crystal (PBE).

Results
**ΔE to the lowest computed polymorph**: 0.0 meV per atom
**Formation energy from the elements**: 0.58 eV/atom

abc: 5.0372 5.0372 5.0372
angles: 90.00 90.00 90.00
Closest atoms and distances in Å follow each position.
Space group Pm-3m (No. 221)
Inequivalent atoms, fractional coordinates:
Rb  0.0000  0.0000  0.0000 (multiplicity 1)  12 Pd 3.56
Nb  0.5000  0.5000  0.5000 (multiplicity 1)  6 Pd 2.52
Pd  0.0000  0.5000  0.5000 (multiplicity 3)  2 Nb 2.52



(6)
Entry from Alexandria via LeMat-Bulk: a relaxed PtAuBr2 crystal (PBE).

Results
**E_form (uncorrected)**: 0.150 eV per atom
**ΔE to the lowest computed polymorph**: 124.2 meV per atom

abc: 3.8704 6.7406 8.2736
angles: 90.00 90.00 90.00
Closest atoms and distances in Å follow each position.
Space group Cmm2 (No. 35)
Inequivalent atoms, fractional coordinates:
Pt  0.0000  0.0000  0.0000 (multiplicity 2)  2 Br 2.46, 2 Au 2.63
Au  0.0000  0.5000  0.7856 (multiplicity 2)  2 Br 2.57, 2 Pt 2.63
Br  0.0000  0.0000  0.5812 (multiplicity 2)  2 Au 2.57
Br  0.0000  0.5000  0.1836 (multiplicity 2)  2 Pt 2.46



Electronic total energy (computed, eV per atom): -6.729; -3.931; -1.168; -9.369; -4.739; -3.016
Total magnetic moment (computed, μB per formula unit): 0.68; 0.00; 0.00; 0.00; 0.00; 0.16